No. 1
First-principles (PBEsol) data for crystalline Mn3SiSe at its relaxed geometry, as listed in Alexandria via LeMat-Bulk.

Calculated values
Raw formation energy in meV/atom: 728
Total magnetization in μB per formula unit: 9.6

Unit cell a=4.4020 b=4.4020 c=4.4020 alpha=90.00 beta=90.00 gamma=90.00
Element x y z (fractional)
Se 0.5000 0.5000 0.5000
Mn 0.5000 0.0000 0.0000
Mn 0.0000 0.0000 0.5000
Mn 0.0000 0.5000 0.0000
Si 0.0000 0.0000 0.0000



No. 2
First-principles (PBEsol) data for crystalline KHgP at its relaxed geometry, as listed in Alexandria via LeMat-Bulk.

Calculated values
DFT formation energy in kJ/mol of formula units: 48
Total magnetization in μB per formula unit: 0.0

Unit cell a=2.9183 b=5.4030 c=5.4871 alpha=119.49 beta=105.42 gamma=90.00
Element x y z (fractional)
P 0.3148 0.3148 0.6296
K 0.6695 0.6695 0.3390
Hg 0.0157 0.0157 0.0314



No. 3
First-principles (PBEsol) data for crystalline TaOs3 at its relaxed geometry, as listed in Alexandria via LeMat-Bulk.

Calculated values
DFT formation energy in kJ/mol of formula units: -46
Total magnetization in μB per formula unit: 0.0

Unit cell a=3.8849 b=3.8849 c=8.3098 alpha=103.52 beta=103.52 gamma=90.00
Element x y z (fractional)
Os 0.0000 0.5000 0.0000
Os 0.5000 0.0000 0.0000
Os 0.2500 0.7500 0.5000
Os 0.7500 0.2500 0.5000
Os 0.1272 0.1272 0.2544
Os 0.8728 0.8728 0.7456
Ta 0.6209 0.6209 0.2417
Ta 0.3791 0.3791 0.7583



No. 4
First-principles (PBEsol) data for crystalline CsAsSe2Br at its relaxed geometry, as listed in Alexandria via LeMat-Bulk.

Calculated values
Raw formation energy in meV/atom: -481
Total magnetization in μB per formula unit: 0.0

Unit cell a=5.0652 b=5.0652 c=5.6377 alpha=90.00 beta=90.00 gamma=90.00
Element x y z (fractional)
Se 0.0000 0.5000 0.0000
Se 0.5000 0.0000 0.0000
Cs 0.5000 0.5000 0.5000
As 0.0000 0.0000 0.0000
Br 0.0000 0.0000 0.5000